No. 1
Material: Th2Ga5Cu3
Method: DFT, PBE-GGA
State: relaxed

Calculated values
- ΔE to the lowest computed polymorph: 0.104 eV/atom
- ΔH_f (0 K): -0.375 eV per atom
- Raw total energy: -46.01 eV for the cell shown

Cell: 4.267 4.267 10.242 Å, 90.00 90.00 90.00°
Space group P-4m2 (No. 115)
One atom of each set of equivalent atoms:
Th 0.000 0.500 0.233 (multiplicity 2)
Ga 0.000 0.000 0.500 (multiplicity 1)
Ga 0.000 0.500 0.651 (multiplicity 2)
Ga 0.500 0.500 0.000 (multiplicity 1)
Ga 0.500 0.500 0.500 (multiplicity 1)
Cu 0.000 0.000 0.000 (multiplicity 1)
Cu 0.000 0.500 0.880 (multiplicity 2)



No. 2
Material: Ba3BiN
Method: DFT, PBE-GGA
State: relaxed

Calculated values
- Formation energy (no corrections): -0.5650 eV/atom
- Raw total energy: -124.80 eV for the cell shown

Cell: 7.5280 7.5280 22.5027 Å, 90.00 90.00 120.00°
Space group R-3m (No. 166, hexagonal axes)
One atom of each set of equivalent atoms:
Ba 0.0088 0.5044 0.4222 (multiplicity 18)
Bi 0.0000 0.0000 0.3854 (multiplicity 6)
N 0.0000 0.0000 0.1717 (multiplicity 6)



No. 3
Material: Tl3InPb
Method: DFT, PBE-GGA
State: relaxed

Calculated values
- ΔE to the lowest computed polymorph: 0.000 eV/atom
- ΔH_f (0 K): 0.014 eV per atom
- Raw total energy: -26.95 eV for the cell shown

Cell: 5.195 6.777 8.917 Å, 95.86 105.71 90.28°
Space group P-1 (No. 2)
One atom of each set of equivalent atoms:
Tl 0.000 0.249 0.001 (multiplicity 2)
Tl 0.200 0.338 0.404 (multiplicity 2)
Tl 0.396 0.959 0.790 (multiplicity 2)
In 0.195 0.837 0.395 (multiplicity 2)
Pb 0.401 0.458 0.800 (multiplicity 2)



No. 4
Material: Tm2NbH
Method: DFT, PBE-GGA
State: relaxed

Calculated values
- Raw total energy: -63.35 eV for the cell shown

Cell: 3.1986 3.1986 25.9092 Å, 90.00 90.00 120.00°
Space group R-3m (No. 166, hexagonal axes)
One atom of each set of equivalent atoms:
Tm 0.0000 0.0000 0.1128 (multiplicity 6)
Nb 0.0000 0.0000 0.0000 (multiplicity 3)
H 0.0000 0.0000 0.5000 (multiplicity 3)



No. 5
Material: Pr6In2H
Method: DFT, PBE-GGA
State: relaxed

Calculated values
- Raw total energy: -79.79 eV for the cell shown

Cell: 6.660 9.545 9.914 Å, 90.00 121.33 90.00°
Space group P2_1/c (No. 14)
One atom of each set of equivalent atoms:
Pr 0.123 0.138 0.483 (multiplicity 4)
Pr 0.327 0.040 0.201 (multiplicity 4)
Pr 0.332 0.739 0.444 (multiplicity 4)
In 0.176 0.085 0.820 (multiplicity 4)
H 0.500 0.000 0.500 (multiplicity 2)



No. 6
Material: TaFeP2S
Method: DFT, PBE-GGA
State: relaxed

Calculated values
- ΔE to the lowest computed polymorph: 0.000 eV/atom
- Formation energy (no corrections): 0.6271 eV/atom
- Raw total energy: -32.13 eV for the cell shown

Cell: 4.839 4.839 4.685 Å, 90.00 90.00 90.00°
Space group P4/mmm (No. 123)
One atom of each set of equivalent atoms:
Ta 0.000 0.000 0.000 (multiplicity 1)
Fe 0.500 0.500 0.500 (multiplicity 1)
P 0.000 0.500 0.000 (multiplicity 2)
S 0.000 0.000 0.500 (multiplicity 1)



No. 7
Material: MgMn2Br
Method: DFT, PBE-GGA
State: relaxed

Calculated values
- ΔE to the lowest computed polymorph: 0.176 eV/atom
- Formation energy (no corrections): 0.3990 eV/atom
- Raw total energy: -20.01 eV for the cell shown

Cell: 3.241 4.686 5.054 Å, 90.00 90.00 90.00°
Space group Pmmm (No. 47)
One atom of each set of equivalent atoms:
Mg 0.000 0.000 0.000 (multiplicity 1)
Mn 0.000 0.500 0.500 (multiplicity 1)
Mn 0.500 0.000 0.500 (multiplicity 1)
Br 0.500 0.500 0.000 (multiplicity 1)



No. 8
Material: Zr2OsRu
Method: DFT, PBE-GGA
State: relaxed

Calculated values
- ΔH_f (0 K): -0.587 eV per atom
- Raw total energy: -39.95 eV for the cell shown

Cell: 4.647 4.647 3.273 Å, 90.00 90.00 90.00°
Space group P4/mmm (No. 123)
One atom of each set of equivalent atoms:
Zr 0.000 0.500 0.000 (multiplicity 2)
Os 0.000 0.000 0.500 (multiplicity 1)
Ru 0.500 0.500 0.500 (multiplicity 1)



No. 9
Material: CeTm2Pb9
Method: DFT, PBE-GGA
State: relaxed

Calculated values
- ΔH_f (0 K): -0.263 eV per atom
- Raw total energy: -51.41 eV for the cell shown

Cell: 4.893 4.893 14.608 Å, 90.00 90.00 90.00°
Space group P4/mmm (No. 123)
One atom of each set of equivalent atoms:
Ce 0.000 0.000 0.000 (multiplicity 1)
Tm 0.000 0.000 0.328 (multiplicity 2)
Pb 0.000 0.500 0.169 (multiplicity 4)
Pb 0.000 0.500 0.500 (multiplicity 2)
Pb 0.500 0.500 0.000 (multiplicity 1)
Pb 0.500 0.500 0.335 (multiplicity 2)



No. 10
Material: KTiO2
Method: DFT, PBE-GGA
State: relaxed

Calculated values
- Formation energy (no corrections): -1.9163 eV/atom
- Raw total energy: -26.57 eV for the cell shown

Cell: 2.704 2.704 6.307 Å, 90.00 90.00 90.00°
Space group P4/mmm (No. 123)
One atom of each set of equivalent atoms:
K 0.000 0.000 0.000 (multiplicity 1)
Ti 0.000 0.000 0.500 (multiplicity 1)
O 0.500 0.500 0.313 (multiplicity 2)



No. 11
Material: La2TeCl
Method: DFT, PBE-GGA
State: relaxed

Calculated values
- ΔE to the lowest computed polymorph: 0.042 eV/atom
- Formation energy (no corrections): -1.5096 eV/atom
- Raw total energy: -20.88 eV for the cell shown

Cell: 4.320 4.320 6.585 Å, 90.00 90.00 90.00°
Space group P4mm (No. 99)
One atom of each set of equivalent atoms:
La 0.000 0.000 0.000 (multiplicity 1)
La 0.500 0.500 0.377 (multiplicity 1)
Te 0.000 0.000 0.504 (multiplicity 1)
Cl 0.500 0.500 0.925 (multiplicity 1)



No. 12
Material: KTeS4
Method: DFT, PBE-GGA
State: relaxed

Calculated values
- ΔE to the lowest computed polymorph: 0.000 eV/atom
- Formation energy (no corrections): -0.1834 eV/atom
- Raw total energy: -87.40 eV for the cell shown

Cell: 7.014 30.217 5.276 Å, 90.00 131.25 90.00°
Space group C2/c (No. 15)
One atom of each set of equivalent atoms:
K 0.000 0.156 0.250 (multiplicity 4)
Te 0.000 0.392 0.750 (multiplicity 4)
S 0.145 0.438 0.245 (multiplicity 8)
S 0.190 0.206 0.926 (multiplicity 8)



No. 13
Material: Rb2OsPdI6
Method: DFT, PBE-GGA
State: relaxed

Calculated values
- Formation energy (no corrections): -0.4133 eV/atom
- Raw total energy: -63.58 eV for the cell shown

Cell: 7.968 7.968 11.412 Å, 90.00 90.00 90.00°
Space group I4/mmm (No. 139)
One atom of each set of equivalent atoms:
Rb 0.000 0.500 0.250 (multiplicity 4)
Os 0.000 0.000 0.000 (multiplicity 2)
Pd 0.000 0.000 0.500 (multiplicity 2)
I 0.000 0.000 0.241 (multiplicity 4)
I 0.245 0.245 0.000 (multiplicity 8)



No. 14
Material: RbMgGaSn2
Method: DFT, PBE-GGA
State: relaxed

Calculated values
- ΔH_f (0 K): -0.167 eV per atom
- Raw total energy: -28.86 eV for the cell shown

Cell: 4.996 4.996 11.985 Å, 90.00 90.00 90.00°
Space group I-4m2 (No. 119)
One atom of each set of equivalent atoms:
Rb 0.000 0.000 0.000 (multiplicity 2)
Mg 0.000 0.500 0.250 (multiplicity 2)
Ga 0.000 0.500 0.750 (multiplicity 2)
Sn 0.000 0.000 0.378 (multiplicity 4)



No. 15
Material: V2CrSe5
Method: DFT, PBE-GGA
State: relaxed

Calculated values
- Formation energy (no corrections): -0.4035 eV/atom
- Raw total energy: -194.04 eV for the cell shown

Cell: 4.504 12.921 13.042 Å, 90.00 90.00 90.00°
Space group Fmmm (No. 69)
One atom of each set of equivalent atoms:
V 0.000 0.000 0.192 (multiplicity 8)
Cr 0.000 0.000 0.500 (multiplicity 4)
Se 0.000 0.000 0.000 (multiplicity 4)
Se 0.000 0.121 0.341 (multiplicity 16)



No. 16
Material: DyHoP2
Method: DFT, PBE-GGA
State: relaxed

Calculated values
- ΔE to the lowest computed polymorph: 0.000 eV/atom
- ΔH_f (0 K): -1.616 eV per atom
- Raw total energy: -211.70 eV for the cell shown

Cell: 7.994 15.987 6.923 Å, 90.00 125.27 90.00°
Space group C2/c (No. 15)
One atom of each set of equivalent atoms:
Dy 0.000 0.063 0.250 (multiplicity 4)
Dy 0.000 0.312 0.250 (multiplicity 4)
Ho 0.000 0.187 0.750 (multiplicity 4)
Ho 0.000 0.438 0.750 (multiplicity 4)
P 0.249 0.313 0.751 (multiplicity 8)
P 0.250 0.063 0.751 (multiplicity 8)



No. 17
Material: PrDy2Mg
Method: DFT, PBE-GGA
State: relaxed

Calculated values
- ΔE to the lowest computed polymorph: 0.000 eV/atom
- ΔH_f (0 K): -0.030 eV per atom
- Raw total energy: -62.80 eV for the cell shown

Cell: 5.169 5.169 18.389 Å, 90.00 90.00 90.00°
Space group I4/mmm (No. 139)
One atom of each set of equivalent atoms:
Pr 0.000 0.000 0.131 (multiplicity 4)
Dy 0.000 0.000 0.365 (multiplicity 4)
Dy 0.000 0.500 0.000 (multiplicity 4)
Mg 0.000 0.500 0.250 (multiplicity 4)



No. 18
Material: NaCuSn
Method: DFT, PBE-GGA
State: relaxed

Calculated values
- ΔH_f (0 K): -0.047 eV per atom
- Raw total energy: -38.23 eV for the cell shown

Cell: 6.593 6.352 8.322 Å, 90.00 125.59 90.00°
Space group P2_1/c (No. 14)
One atom of each set of equivalent atoms:
Na 0.204 0.114 0.421 (multiplicity 4)
Cu 0.376 0.598 0.341 (multiplicity 4)
Sn 0.233 0.621 0.575 (multiplicity 4)